Record 1
Zn3GePd | the Alexandria database | GGA-PBE | optimized geometry; ΔE to the lowest computed polymorph = 1.35 eV/f.u.; formation enthalpy at 0 K = 0.57 eV/atom
1.0
4.699 0.000 0.000
0.000 4.699 0.000
0.000 0.000 4.699
Zn Ge Pd
3 1 1
Cartesian
0.000 0.000 2.350
0.000 2.350 0.000
2.350 0.000 0.000
0.000 0.000 0.000
2.350 2.350 2.350

***

Record 2
Zn3GePd12 | the Alexandria database | GGA-PBE | optimized geometry; formation enthalpy at 0 K = -0.31 eV/atom
1.0
3.931 0.000 0.000
0.000 3.931 0.000
0.000 0.000 15.581
Zn Ge Pd
3 1 12
Cartesian
0.000 0.000 0.000
0.000 0.000 3.885
0.000 0.000 11.696
0.000 0.000 7.791
0.000 1.965 1.941
0.000 1.965 5.848
0.000 1.965 9.734
0.000 1.965 13.640
1.965 0.000 1.941
1.965 0.000 5.848
1.965 0.000 9.734
1.965 0.000 13.640
1.965 1.965 0.000
1.965 1.965 3.896
1.965 1.965 7.791
1.965 1.965 11.685

***

Record 3
ZnGePd14 | the Alexandria database | GGA-PBE | optimized geometry; formation enthalpy at 0 K = -0.16 eV/atom
1.0
9.032 0.000 0.000
0.000 2.879 4.695
0.000 -2.879 4.695
Zn Ge Pd
1 1 14
Cartesian
0.000 0.000 0.000
0.000 0.000 4.671
0.000 -1.429 2.430
0.000 1.429 2.430
2.106 -1.415 5.192
2.106 1.415 5.192
2.279 0.000 7.573
2.294 0.000 2.834
4.516 0.000 1.134
4.516 -1.434 3.521
4.516 1.434 3.521
4.516 0.000 5.857
6.738 0.000 2.834
6.753 0.000 7.573
6.926 -1.415 5.192
6.926 1.415 5.192

***

no.,N(E_F) (states/eV per cell)
1,2.46
2,19.70
3,23.18